Record 1
Here is crystalline Ti2FeNiSb2 at its relaxed geometry from the Alexandria database. Energies are from GGA-PBEsol.

Properties
E_form (uncorrected): -0.63 eV per atom

Cell: 7.1172 7.1172 7.1172 Å, 33.90 33.90 33.90°
Fractional positions:
Ti1 0.0000 0.0000 0.0000
Ti2 0.4932 0.4932 0.4932
Fe1 0.3743 0.3743 0.3743
Ni1 0.8708 0.8708 0.8708
Sb1 0.2482 0.2482 0.2482
Sb2 0.7446 0.7446 0.7446

---

Record 2
Here is crystalline ScFeNi at its relaxed geometry from the Alexandria database. Energies are from GGA-PBEsol.

Properties
D(E_F): 2.85 states/eV/cell
formation energy from the elements: 0.17 eV/atom

Cell: 4.0715 4.0715 4.0715 Å, 60.00 60.00 60.00°
Fractional positions:
Sc1 0.0000 0.0000 0.0000
Fe1 0.5000 0.5000 0.5000
Ni1 0.7500 0.7500 0.7500

---

Record 3
Here is crystalline ScFeNi at its relaxed geometry from the Alexandria database. Energies are from GGA-PBEsol.

Properties
D(E_F): 2.96 states/eV/cell
formation energy from the elements: 0.23 eV/atom

Cell: 2.8390 2.8390 6.0611 Å, 90.00 90.00 120.00°
Fractional positions:
Sc1 0.0000 0.0000 0.0000
Fe1 0.6667 0.3333 0.6431
Ni1 0.3333 0.6667 0.3459

---

Record 4
Here is crystalline Sc2FeNi at its relaxed geometry from the Alexandria database. Energies are from GGA-PBEsol.

Properties
D(E_F): 2.46 states/eV/cell
formation energy from the elements: -0.28 eV/atom

Cell: 4.3376 4.3376 3.1344 Å, 90.00 90.00 90.00°
Fractional positions:
Sc1 0.0000 0.5000 0.0000
Sc2 0.5000 0.0000 0.0000
Fe1 0.0000 0.0000 0.5000
Ni1 0.5000 0.5000 0.5000

---

Record 5
Here is crystalline ScFeNi2 at its relaxed geometry from the Alexandria database. Energies are from GGA-PBEsol.

Properties
D(E_F): 3.61 states/eV/cell
formation energy from the elements: 0.22 eV/atom

Cell: 8.3251 8.3251 8.3251 Å, 18.61 18.61 18.61°
Fractional positions:
Sc1 0.0000 0.0000 0.0000
Fe1 0.7581 0.7581 0.7581
Ni1 0.2466 0.2466 0.2466
Ni2 0.5007 0.5007 0.5007

---

Record 6
Here is crystalline FeNiSe at its relaxed geometry from the Alexandria database. Energies are from GGA-PBEsol.

Properties
E_form (uncorrected): 0.23 eV per atom
D(E_F): 3.11 states/eV/cell

Cell: 2.8905 2.8905 5.4407 Å, 90.00 90.00 120.00°
Fractional positions:
Fe1 0.0000 0.0000 0.0000
Ni1 0.6667 0.3333 0.6698
Se1 0.3333 0.6667 0.3208

---

Record 7
Here is crystalline FeNiSe2 at its relaxed geometry from the Alexandria database. Energies are from GGA-PBEsol.

Properties
E_form (uncorrected): -0.27 eV per atom
D(E_F): 3.50 states/eV/cell
energy relative to the lowest polymorph listed for this composition: 0.000 eV/atom

Cell: 3.5959 3.5959 5.3421 Å, 90.00 90.00 90.00°
Fractional positions:
Fe1 0.0000 0.0000 0.0000
Ni1 0.5000 0.5000 0.0000
Se1 0.0000 0.5000 0.2721
Se2 0.5000 0.0000 0.7279

---

Record 8
Here is crystalline FeNiSe2 at its relaxed geometry from the Alexandria database. Energies are from GGA-PBEsol.

Properties
E_form (uncorrected): 0.04 eV per atom
D(E_F): 4.85 states/eV/cell
energy relative to the lowest polymorph listed for this composition: 0.310 eV/atom

Cell: 7.4914 7.4914 7.4914 Å, 25.06 25.06 25.06°
Fractional positions:
Fe1 0.0000 0.0000 0.0000
Ni1 0.5000 0.5000 0.5000
Se1 0.3982 0.3982 0.3982
Se2 0.6018 0.6018 0.6018

---

| no. | final energy (eV/atom) | magnetic moment (μB per cell) |
| --- | --- | --- |
| 1 | -7.446 | 0.00 |
| 2 | -7.075 | 2.64 |
| 3 | -7.008 | 2.49 |
| 4 | -7.367 | 0.00 |
| 5 | -6.748 | 2.96 |
| 6 | -6.097 | 2.61 |
| 7 | -5.980 | 1.28 |
| 8 | -5.670 | 1.51 |